No. 1
Material: NaTl6
Method: DFT, PBE
State: optimized geometry

Calculated values
Formation energy ... 0.03 eV/atom
ΔE to the lowest computed polymorph ... 0.08 eV per formula unit
E ... -2.19 eV per atom

Cell: 6.495 6.495 10.813 Å, 90.00 90.00 90.00°
Sites, in units of the cell vectors:
Na: 0.250 0.750 0.000
Na: 0.750 0.250 0.000
Tl: 0.073 0.573 0.361
Tl: 0.073 0.927 0.639
Tl: 0.250 0.250 0.144
Tl: 0.250 0.250 0.856
Tl: 0.427 0.573 0.639
Tl: 0.427 0.927 0.361
Tl: 0.573 0.073 0.639
Tl: 0.573 0.427 0.361
Tl: 0.750 0.750 0.144
Tl: 0.750 0.750 0.856
Tl: 0.927 0.073 0.361
Tl: 0.927 0.427 0.639

No. 2
Material: Na3Tl11
Method: DFT, PBE
State: optimized geometry

Calculated values
Formation energy ... -0.03 eV/atom
E ... -2.17 eV per atom

Cell: 9.637 9.637 9.637 Å, 149.05 97.74 90.44°
Sites, in units of the cell vectors:
Na: 0.000 0.000 0.000
Na: 0.283 0.283 0.000
Na: 0.717 0.717 0.000
Tl: 0.001 0.624 0.377
Tl: 0.128 0.846 0.282
Tl: 0.247 0.624 0.623
Tl: 0.346 0.500 0.846
Tl: 0.437 0.154 0.282
Tl: 0.500 0.000 0.500
Tl: 0.563 0.846 0.718
Tl: 0.654 0.500 0.154
Tl: 0.753 0.376 0.377
Tl: 0.872 0.154 0.718
Tl: 0.999 0.376 0.623

No. 3
Material: Na2Tl3
Method: DFT, PBE
State: optimized geometry

Calculated values
Formation energy ... 0.00 eV/atom
ΔE to the lowest computed polymorph ... 0.19 eV per formula unit
E ... -1.95 eV per atom

Cell: 6.651 6.651 6.651 Å, 88.62 88.62 88.62°
Sites, in units of the cell vectors:
Na: 0.124 0.124 0.124
Na: 0.376 0.376 0.376
Na: 0.624 0.624 0.624
Na: 0.876 0.876 0.876
Tl: 0.072 0.750 0.428
Tl: 0.250 0.572 0.928
Tl: 0.428 0.072 0.750
Tl: 0.572 0.928 0.250
Tl: 0.750 0.428 0.072
Tl: 0.928 0.250 0.572

No. 4
Material: Na12Tl17
Method: DFT, PBE
State: optimized geometry

Calculated values
Formation energy ... -0.06 eV/atom
E ... -1.99 eV per atom

Cell: 10.318 10.318 10.318 Å, 109.47 109.47 109.47°
Sites, in units of the cell vectors:
Na: 0.000 0.195 0.384
Na: 0.000 0.384 0.195
Na: 0.189 0.805 0.805
Na: 0.195 0.000 0.384
Na: 0.195 0.384 0.000
Na: 0.384 0.000 0.195
Na: 0.384 0.195 0.000
Na: 0.616 0.616 0.811
Na: 0.616 0.811 0.616
Na: 0.805 0.189 0.805
Na: 0.805 0.805 0.189
Na: 0.811 0.616 0.616
Tl: 0.000 0.000 0.000
Tl: 0.000 0.000 0.656
Tl: 0.000 0.416 0.689
Tl: 0.000 0.656 0.000
Tl: 0.000 0.689 0.416
Tl: 0.273 0.584 0.584
Tl: 0.311 0.311 0.727
Tl: 0.311 0.727 0.311
Tl: 0.344 0.344 0.344
Tl: 0.416 0.000 0.689
Tl: 0.416 0.689 0.000
Tl: 0.584 0.273 0.584
Tl: 0.584 0.584 0.273
Tl: 0.656 0.000 0.000
Tl: 0.689 0.000 0.416
Tl: 0.689 0.416 0.000
Tl: 0.727 0.311 0.311

No. 5
Material: NaTl4
Method: DFT, PBE
State: optimized geometry

Calculated values
Formation energy ... -0.05 eV/atom
ΔE to the lowest computed polymorph ... 0.00 eV per formula unit
E ... -2.21 eV per atom

Cell: 9.739 9.739 9.739 Å, 156.34 156.34 33.71°
Sites, in units of the cell vectors:
Na: 0.000 0.000 0.000
Tl: 0.199 0.199 0.000
Tl: 0.399 0.399 0.000
Tl: 0.601 0.601 0.000
Tl: 0.801 0.801 0.000

No. 6
Material: Na7Tl3
Method: DFT, PBE
State: optimized geometry

Calculated values
Formation energy ... -0.09 eV/atom
ΔE to the lowest computed polymorph ... 0.00 eV per formula unit
E ... -1.72 eV per atom

Cell: 9.347 9.347 6.955 Å, 102.75 102.75 30.57°
Sites, in units of the cell vectors:
Na: 0.000 0.000 0.000
Na: 0.201 0.201 0.616
Na: 0.393 0.393 0.192
Na: 0.400 0.400 0.693
Na: 0.600 0.600 0.307
Na: 0.607 0.607 0.808
Na: 0.799 0.799 0.384
Tl: 0.000 0.000 0.500
Tl: 0.197 0.197 0.104
Tl: 0.803 0.803 0.896

No. 7
Material: NaTl4
Method: DFT, PBE
State: optimized geometry

Calculated values
Formation energy ... 0.08 eV/atom
ΔE to the lowest computed polymorph ... 0.67 eV per formula unit
E ... -2.08 eV per atom

Cell: 7.777 7.777 7.777 Å, 100.25 100.25 130.10°
Sites, in units of the cell vectors:
Na: 0.375 0.625 0.750
Na: 0.625 0.375 0.250
Tl: 0.197 0.245 0.952
Tl: 0.207 0.755 0.452
Tl: 0.245 0.197 0.452
Tl: 0.245 0.793 0.048
Tl: 0.755 0.207 0.952
Tl: 0.755 0.803 0.548
Tl: 0.793 0.245 0.548
Tl: 0.803 0.755 0.048

No. 8
Material: Na3Tl2
Method: DFT, PBE
State: optimized geometry

Calculated values
Formation energy ... -0.03 eV/atom
ΔE to the lowest computed polymorph ... 0.13 eV per formula unit
E ... -1.77 eV per atom

Cell: 8.982 8.982 8.982 Å, 44.01 44.01 44.01°
Sites, in units of the cell vectors:
Na: 0.248 0.750 0.252
Na: 0.250 0.748 0.752
Na: 0.252 0.248 0.750
Na: 0.748 0.752 0.250
Na: 0.750 0.252 0.248
Na: 0.752 0.250 0.748
Tl: 0.188 0.188 0.188
Tl: 0.312 0.312 0.312
Tl: 0.688 0.688 0.688
Tl: 0.812 0.812 0.812

> What is the formula in the sixth record?

Na7Tl3

> What is the E in the third record?

-1.95 eV per atom

What did the second record say?
Material: Na3Tl11
Method: DFT, PBE
State: optimized geometry

Calculated values
Formation energy ... -0.03 eV/atom
E ... -2.17 eV per atom

Cell: 9.637 9.637 9.637 Å, 149.05 97.74 90.44°
Sites, in units of the cell vectors:
Na: 0.000 0.000 0.000
Na: 0.283 0.283 0.000
Na: 0.717 0.717 0.000
Tl: 0.001 0.624 0.377
Tl: 0.128 0.846 0.282
Tl: 0.247 0.624 0.623
Tl: 0.346 0.500 0.846
Tl: 0.437 0.154 0.282
Tl: 0.500 0.000 0.500
Tl: 0.563 0.846 0.718
Tl: 0.654 0.500 0.154
Tl: 0.753 0.376 0.377
Tl: 0.872 0.154 0.718
Tl: 0.999 0.376 0.623